(1)
{"formula": "Ba2Ce2Pt15", "functional": "GGA-PBE", "state": "relaxed", "spacegroup": "R-3m", "total_energy_ev_per_atom": -6.198, "total_magnetization_mub_per_cell": 0.76, "formation_energy_mev_per_atom": -602, "lattice_angstrom": [[-5.487, 4.551, 1.088], [-4.568, -4.837, 2.783], [1.420, 1.390, 6.933]], "species": ["Ba", "Ba", "Ce", "Ce", "Pt", "Pt", "Pt", "Pt", "Pt", "Pt", "Pt", "Pt", "Pt", "Pt", "Pt", "Pt", "Pt", "Pt", "Pt"], "frac_coords": [[0.357, 0.357, 0.357], [0.643, 0.643, 0.643], [0.104, 0.104, 0.104], [0.896, 0.896, 0.896], [0.500, 0.000, 0.000], [0.000, 0.000, 0.500], [0.000, 0.500, 0.000], [0.000, 0.696, 0.304], [0.696, 0.304, 0.000], [0.304, 0.000, 0.696], [0.304, 0.696, 0.000], [0.696, 0.000, 0.304], [0.000, 0.304, 0.696], [0.153, 0.658, 0.658], [0.658, 0.658, 0.153], [0.658, 0.153, 0.658], [0.847, 0.342, 0.342], [0.342, 0.342, 0.847], [0.342, 0.847, 0.342]]}

(2)
{"formula": "BaCePt4", "functional": "GGA-PBE", "state": "relaxed", "spacegroup": "F-43m", "total_energy_ev_per_atom": -6.153, "total_magnetization_mub_per_cell": 0.84, "formation_energy_mev_per_atom": -816, "lattice_angstrom": [[-5.086, -2.241, 0.669], [-0.559, -4.974, 2.508], [-2.268, -0.320, 5.108]], "species": ["Ce", "Pt", "Pt", "Pt", "Pt", "Ba"], "frac_coords": [[0.000, 0.000, 0.000], [0.625, 0.625, 0.124], [0.625, 0.124, 0.625], [0.625, 0.625, 0.625], [0.124, 0.625, 0.625], [0.250, 0.250, 0.250]]}